Record 1
Compound: KCu2Pt
Source: Alexandria
Functional: SCAN
Structure: PBEsol geometry

Structure (CIF):
```
data_KCu2Pt
_space_group_name_H-M_alt 'I m m m'
_space_group_IT_number 71
_space_group_name_Hall '-I 2 2'
_cell_length_a 2.674
_cell_length_b 5.309
_cell_length_c 10.351
_cell_angle_alpha 90.00
_cell_angle_beta 90.00
_cell_angle_gamma 90.00
loop_
_atom_site_label
_atom_site_fract_x
_atom_site_fract_y
_atom_site_fract_z
K1 0.000 0.000 0.000
Cu1 0.000 0.500 0.207
Pt1 0.000 0.000 0.500
```

As for the polymorph energy (0 for the lowest one): 191 meV per atom. The density of states at the Fermi level comes out at 3.49 states/eV/cell. As for the magnetization: 0.0 Bohr magnetons per cell. Its calculated formation energy is 362 meV per atom. Its total energy is -214.95 eV/cell.

Record 2
Compound: KCuPt2
Source: Alexandria
Functional: SCAN
Structure: PBEsol geometry

Structure (CIF):
```
data_KCuPt2
_space_group_name_H-M_alt 'P 1 2/m 1'
_space_group_IT_number 10
_space_group_name_Hall '-P 2y'
_cell_length_a 2.674
_cell_length_b 4.172
_cell_length_c 7.011
_cell_angle_alpha 90.00
_cell_angle_beta 101.03
_cell_angle_gamma 90.00
loop_
_atom_site_label
_atom_site_fract_x
_atom_site_fract_y
_atom_site_fract_z
K1 0.000 0.000 0.000
Cu1 0.000 0.000 0.500
Pt1 0.365 0.500 0.671
```

As for the polymorph energy (0 for the lowest one): 0 meV per atom. The density of states at the Fermi level comes out at 2.16 states/eV/cell. As for the magnetization: 0.0 Bohr magnetons per cell. Its calculated formation energy is 146 meV per atom. Its total energy is -163.33 eV/cell.

Record 3
Compound: KCuPt2
Source: Alexandria
Functional: SCAN
Structure: PBEsol geometry

Structure (CIF):
```
data_KCuPt2
_space_group_name_H-M_alt 'I -4 m 2'
_space_group_IT_number 119
_space_group_name_Hall 'I -4 -2'
_cell_length_a 4.397
_cell_length_b 4.397
_cell_length_c 6.996
_cell_angle_alpha 90.00
_cell_angle_beta 90.00
_cell_angle_gamma 90.00
loop_
_atom_site_label
_atom_site_fract_x
_atom_site_fract_y
_atom_site_fract_z
K1 0.000 0.000 0.000
Cu1 0.000 0.500 0.750
Pt1 0.000 0.000 0.500
Pt2 0.000 0.500 0.250
```

As for the polymorph energy (0 for the lowest one): 383 meV per atom. The density of states at the Fermi level comes out at 2.51 states/eV/cell. As for the magnetization: 0.0 Bohr magnetons per cell. Its calculated formation energy is 529 meV per atom. Its total energy is -323.60 eV/cell.

Record 4
Compound: KCu2Pt
Source: Alexandria
Functional: SCAN
Structure: PBEsol geometry

Structure (CIF):
```
data_KCu2Pt
_space_group_name_H-M_alt 'P m m m'
_space_group_IT_number 47
_space_group_name_Hall '-P 2 2'
_cell_length_a 2.774
_cell_length_b 3.765
_cell_length_c 6.927
_cell_angle_alpha 90.00
_cell_angle_beta 90.00
_cell_angle_gamma 90.00
loop_
_atom_site_label
_atom_site_fract_x
_atom_site_fract_y
_atom_site_fract_z
K1 0.000 0.000 0.000
Cu1 0.500 0.500 0.332
Pt1 0.000 0.000 0.500
```

As for the polymorph energy (0 for the lowest one): 0 meV per atom. The density of states at the Fermi level comes out at 1.53 states/eV/cell. As for the magnetization: 0.0 Bohr magnetons per cell. Its calculated formation energy is 171 meV per atom. Its total energy is -108.24 eV/cell.

Record 5
Compound: KCuPt2
Source: Alexandria
Functional: SCAN
Structure: PBEsol geometry

Structure (CIF):
```
data_KCuPt2
_space_group_name_H-M_alt 'P 4/m m m'
_space_group_IT_number 123
_space_group_name_Hall '-P 4 2'
_cell_length_a 3.928
_cell_length_b 3.928
_cell_length_c 4.338
_cell_angle_alpha 90.00
_cell_angle_beta 90.00
_cell_angle_gamma 90.00
loop_
_atom_site_label
_atom_site_fract_x
_atom_site_fract_y
_atom_site_fract_z
K1 0.000 0.000 0.000
Cu1 0.500 0.500 0.000
Pt1 0.000 0.500 0.500
```

As for the polymorph energy (0 for the lowest one): 277 meV per atom. The density of states at the Fermi level comes out at 1.82 states/eV/cell. As for the magnetization: 0.0 Bohr magnetons per cell. Its calculated formation energy is 423 meV per atom. Its total energy is -162.22 eV/cell.

Record 6
Compound: KCuPt2
Source: Alexandria
Functional: SCAN
Structure: PBEsol geometry

Structure (CIF):
```
data_KCuPt2
_space_group_name_H-M_alt 'I 4/m m m'
_space_group_IT_number 139
_space_group_name_Hall '-I 4 2'
_cell_length_a 3.934
_cell_length_b 3.934
_cell_length_c 8.749
_cell_angle_alpha 90.00
_cell_angle_beta 90.00
_cell_angle_gamma 90.00
loop_
_atom_site_label
_atom_site_fract_x
_atom_site_fract_y
_atom_site_fract_z
K1 0.000 0.000 0.000
Cu1 0.000 0.000 0.500
Pt1 0.000 0.500 0.250
```

As for the polymorph energy (0 for the lowest one): 333 meV per atom. The density of states at the Fermi level comes out at 4.58 states/eV/cell. As for the magnetization: 0.0 Bohr magnetons per cell. Its calculated formation energy is 479 meV per atom. Its total energy is -323.99 eV/cell.

Record 7
Compound: KCu2Pt
Source: Alexandria
Functional: SCAN
Structure: PBEsol geometry

Structure (CIF):
```
data_KCu2Pt
_space_group_name_H-M_alt 'F -4 3 m'
_space_group_IT_number 216
_space_group_name_Hall 'F -4 2 3'
_cell_length_a 6.440
_cell_length_b 6.440
_cell_length_c 6.440
_cell_angle_alpha 90.00
_cell_angle_beta 90.00
_cell_angle_gamma 90.00
loop_
_atom_site_label
_atom_site_fract_x
_atom_site_fract_y
_atom_site_fract_z
K1 0.000 0.000 0.000
Cu1 0.000 0.000 0.500
Cu2 0.250 0.250 0.250
Pt1 0.250 0.250 0.750
```

As for the polymorph energy (0 for the lowest one): 513 meV per atom. The density of states at the Fermi level comes out at 7.38 states/eV/cell. As for the magnetization: 0.0 Bohr magnetons per cell. Its calculated formation energy is 683 meV per atom. Its total energy is -424.75 eV/cell.

Record 8
Compound: KCuPt
Source: Alexandria
Functional: SCAN
Structure: PBEsol geometry

Structure (CIF):
```
data_KCuPt
_space_group_name_H-M_alt 'F -4 3 m'
_space_group_IT_number 216
_space_group_name_Hall 'F -4 2 3'
_cell_length_a 6.433
_cell_length_b 6.433
_cell_length_c 6.433
_cell_angle_alpha 90.00
_cell_angle_beta 90.00
_cell_angle_gamma 90.00
loop_
_atom_site_label
_atom_site_fract_x
_atom_site_fract_y
_atom_site_fract_z
K1 0.000 0.000 0.000
Cu1 0.000 0.000 0.500
Pt1 0.250 0.250 0.750
```

As for the magnetization: 0.0 Bohr magnetons per cell. Its calculated formation energy is 626 meV per atom. Its total energy is -367.37 eV/cell.

Record 9
Compound: KCuPt2
Source: Alexandria
Functional: SCAN
Structure: PBEsol geometry

Structure (CIF):
```
data_KCuPt2
_space_group_name_H-M_alt 'C 1 2/m 1'
_space_group_IT_number 12
_space_group_name_Hall '-C 2y'
_cell_length_a 11.187
_cell_length_b 2.722
_cell_length_c 4.901
_cell_angle_alpha 90.00
_cell_angle_beta 115.87
_cell_angle_gamma 90.00
loop_
_atom_site_label
_atom_site_fract_x
_atom_site_fract_y
_atom_site_fract_z
K1 0.000 0.000 0.000
Cu1 0.000 0.500 0.500
Pt1 0.219 0.000 0.719
```

As for the polymorph energy (0 for the lowest one): 1 meV per atom. The density of states at the Fermi level comes out at 4.78 states/eV/cell. As for the magnetization: 0.0 Bohr magnetons per cell. Its calculated formation energy is 147 meV per atom. Its total energy is -326.66 eV/cell.

Record 10
Compound: KCu2Pt
Source: Alexandria
Functional: SCAN
Structure: PBEsol geometry

Structure (CIF):
```
data_KCu2Pt
_space_group_name_H-M_alt 'R -3 m'
_space_group_IT_number 166
_space_group_name_Hall '-R 3 2"'
_cell_length_a 2.7846
_cell_length_b 2.7846
_cell_length_c 28.8860
_cell_angle_alpha 90.00
_cell_angle_beta 90.00
_cell_angle_gamma 120.00
loop_
_atom_site_label
_atom_site_fract_x
_atom_site_fract_y
_atom_site_fract_z
K1 0.0000 0.0000 0.0000
Cu1 0.0000 0.0000 0.2385
Pt1 0.0000 0.0000 0.5000
```

As for the polymorph energy (0 for the lowest one): 297 meV per atom. The density of states at the Fermi level comes out at 4.87 states/eV/cell. As for the magnetization: 0.0 Bohr magnetons per cell. Its calculated formation energy is 467 meV per atom. Its total energy is -321.15 eV/cell.

Record 11
Compound: KCuPt2Rh
Source: Alexandria
Functional: SCAN
Structure: PBEsol geometry

Structure (CIF):
```
data_KCuPt2Rh
_space_group_name_H-M_alt 'P 4/m m m'
_space_group_IT_number 123
_space_group_name_Hall '-P 4 2'
_cell_length_a 4.579
_cell_length_b 4.579
_cell_length_c 4.753
_cell_angle_alpha 90.00
_cell_angle_beta 90.00
_cell_angle_gamma 90.00
loop_
_atom_site_label
_atom_site_fract_x
_atom_site_fract_y
_atom_site_fract_z
K1 0.000 0.000 0.000
Cu1 0.000 0.000 0.500
Pt1 0.000 0.500 0.500
Rh1 0.500 0.500 0.000
```

The density of states at the Fermi level comes out at 3.95 states/eV/cell. As for the magnetization: 1.7 Bohr magnetons per cell. Its calculated formation energy is 1172 meV per atom. Its total energy is -191.83 eV/cell.

Record 12
Compound: KRb2Cu2
Source: Alexandria
Functional: SCAN
Structure: PBEsol geometry

Structure (CIF):
```
data_KRb2Cu2
_space_group_name_H-M_alt 'I 4/m m m'
_space_group_IT_number 139
_space_group_name_Hall '-I 4 2'
_cell_length_a 5.328
_cell_length_b 5.328
_cell_length_c 13.750
_cell_angle_alpha 90.00
_cell_angle_beta 90.00
_cell_angle_gamma 90.00
loop_
_atom_site_label
_atom_site_fract_x
_atom_site_fract_y
_atom_site_fract_z
K1 0.000 0.000 0.000
Rb1 0.000 0.500 0.250
Cu1 0.000 0.000 0.414
```

The density of states at the Fermi level comes out at 5.28 states/eV/cell. As for the magnetization: 0.0 Bohr magnetons per cell. Its calculated formation energy is 486 meV per atom. Its total energy is -155.55 eV/cell.

Number 8 is which compound? KCuPt